{"formula": "LaSeI2N", "functional": "PBE", "state": "optimized geometry", "e_form_raw_ev_per_fu": 0.4, "total_magnetization_mub_per_fu": 2.9, "total_energy_ev_per_fu": -19.45, "de_polymorph_mev_per_atom": 0, "lattice_angstrom": [[-1.205, 2.458, 6.011], [-0.725, -6.127, 2.360], [4.067, -0.144, 0.874]], "species": ["N", "Se", "I", "I", "La"], "fractional_positions": [[0.000, 0.000, 0.500], [0.500, 0.500, 0.500], [0.500, 0.000, 0.000], [0.000, 0.500, 0.000], [0.000, 0.000, 0.000]]}



{"formula": "La2SiRu", "functional": "PBE", "state": "optimized geometry", "e_form_raw_ev_per_fu": -1.1, "total_magnetization_mub_per_fu": 0.0, "total_energy_ev_per_fu": -25.62, "lattice_angstrom": [[3.997, 0.000, 0.000], [0.000, 3.596, 0.059], [0.000, 3.023, 6.608]], "species": ["La", "La", "Si", "Ru"], "fractional_positions": [[0.000, 0.457, 0.496], [0.000, 0.043, 0.004], [0.500, 0.750, 0.750], [0.500, 0.250, 0.250]]}



{"formula": "Pm3TlPt2", "functional": "PBE", "state": "optimized geometry", "total_magnetization_mub_per_fu": 0.0, "total_energy_ev_per_fu": -33.75, "formation_energy_ev_per_atom": -0.842, "lattice_angstrom": [[-0.543, 3.579, -0.248], [-3.159, -0.358, 1.749], [5.374, 1.509, 10.014]], "species": ["Pm", "Pt", "Pm", "Pt", "Tl", "Pm"], "fractional_positions": [[0.000, 0.000, 0.694], [0.500, 0.500, 0.842], [0.000, 0.000, 0.000], [0.500, 0.500, 0.158], [0.500, 0.500, 0.500], [0.000, 0.000, 0.306]]}



- Which formula does entry 1 have?
  LaSeI2N